A relaxed CaTm2Ag3 crystal. Source: Alexandria, functional GGA-PBE.

```
6
Lattice="3.600 0.000 0.000 0.000 3.600 0.000 0.000 0.000 11.035" Properties=species:S:1:pos:R:3 pbc="T T T"
Ca 0.000 0.000 0.000
Tm 0.000 0.000 3.706
Tm 0.000 0.000 7.329
Ag 1.800 1.800 2.027
Ag 1.800 1.800 5.517
Ag 1.800 1.800 9.007
```

- energy relative to the elements (meV per atom) = -332
- crystal system = tetragonal
- space group = P4/mmm
- N(E_F) (states/eV per cell) = 3.04